First-principles (PBE) data for a relaxed ZrFeIr3 crystal, as listed in the Alexandria database.

Summary:
ΔE_f in eV/atom: 0.659

Cell: 4.4895 4.4895 4.4895 Å, 90.00 90.00 90.00°
Space group Pm-3m (No. 221)
Asymmetric unit:
Zr 0.0000 0.0000 0.0000 x1
Fe 0.5000 0.5000 0.5000 x1
Ir 0.0000 0.5000 0.5000 x3